No. 1
! DyCu2Ge (PBE, optimized geometry); values from VASP
&SYSTEM
  ibrav = 0, nat = 4, ntyp = 3
/
ATOMIC_SPECIES
Cu 63.55 Cu.upf
Ge 72.64 Ge.upf
Dy 162.50 Dy.upf
ATOMIC_POSITIONS angstrom
Cu 2.0838 1.2031 1.7282
Cu 6.2513 3.6092 2.9434
Ge 4.1676 2.4061 2.3358
Dy 0.0000 0.0000 0.0000
CELL_PARAMETERS angstrom
4.1676 0.0000 0.0000
2.0838 3.6092 0.0000
2.0838 1.2031 4.6716
! **Total energy**: -4.6766 eV per atom

=====

No. 2
! Sm8Dy5Zr (PBE, optimized geometry); values from VASP
&SYSTEM
  ibrav = 0, nat = 14, ntyp = 3
/
ATOMIC_SPECIES
Sm 150.36 Sm.upf
Dy 162.50 Dy.upf
Zr 91.22 Zr.upf
ATOMIC_POSITIONS angstrom
Sm -5.9166 3.7454 1.8155
Sm 4.5085 4.4279 4.4503
Sm -2.7843 -2.1343 3.4795
Sm -1.2260 4.0518 4.1215
Sm -4.9639 0.4916 2.6507
Sm -0.1892 1.3035 6.4564
Sm -1.2595 0.8508 3.1278
Sm 2.1846 -0.4133 4.5562
Dy 0.7051 2.2596 0.5902
Dy -1.2735 -5.4849 5.9090
Dy -2.4459 3.6547 0.7830
Dy -7.8684 -1.7303 1.9373
Dy -3.4770 0.4003 5.7109
Zr 1.6303 2.6306 3.7872
CELL_PARAMETERS angstrom
-8.9521 -0.8314 0.5648
1.1467 -5.7881 5.9502
4.2203 7.9018 0.9499
! **Total energy**: -4.6991 eV per atom

=====

No. 3
! H2ClF6 (PBE, optimized geometry); values from VASP
&SYSTEM
  ibrav = 0, nat = 18, ntyp = 3
/
ATOMIC_SPECIES
F 19.00 F.upf
H 1.01 H.upf
Cl 35.45 Cl.upf
ATOMIC_POSITIONS angstrom
F 4.9273 5.9068 -0.0059
F 2.6298 5.7910 2.6349
F 0.1153 5.2606 4.2011
F 1.1151 0.9329 5.0514
F 4.3483 4.2385 1.7171
F 1.9225 2.5668 2.2188
F -1.1824 0.8171 7.6922
F -0.6034 2.4854 5.9692
F 0.5448 -0.7191 6.7929
F 3.6296 1.4632 3.4852
F 3.2001 7.4430 0.8934
F 1.8223 4.1570 5.4674
H 2.9048 1.9218 2.9514
H 2.7868 4.3910 5.2787
H 0.9580 2.3329 2.4076
H 0.8401 4.8020 4.7349
Cl -0.0311 0.8803 6.3751
Cl 3.7759 5.8435 1.3112
CELL_PARAMETERS angstrom
3.9890 -0.5463 0.7997
1.3719 7.9514 -1.0605
-1.6161 -0.6813 7.9471
! **Total energy**: -3.2086 eV per atom

=====

No. 4
! Mg3AgBr (PBE, optimized geometry); values from VASP
&SYSTEM
  ibrav = 0, nat = 5, ntyp = 3
/
ATOMIC_SPECIES
Ag 107.87 Ag.upf
Mg 24.30 Mg.upf
Br 79.90 Br.upf
ATOMIC_POSITIONS angstrom
Ag -1.9852 -3.7206 1.5656
Mg -0.9285 -0.3049 2.4062
Mg -2.1600 -1.0680 -0.9688
Mg 1.1033 -2.3476 0.1282
Br 0.0000 0.0000 0.0000
CELL_PARAMETERS angstrom
-4.3200 -2.1361 -1.9377
2.2066 -4.6952 0.2565
-1.8570 -0.6099 4.8124
! **Total energy**: -1.4596 eV per atom
! **E above lowest polymorph**: 504 meV/atom
! **Formation energy (no corrections)**: 402 meV/atom

=====

No. 5
! CeEr2Sb (PBE, optimized geometry); values from VASP
&SYSTEM
  ibrav = 0, nat = 4, ntyp = 3
/
ATOMIC_SPECIES
Ce 140.12 Ce.upf
Sb 121.76 Sb.upf
Er 167.26 Er.upf
ATOMIC_POSITIONS angstrom
Ce -3.2541 -0.0843 -2.5198
Sb -0.1540 1.2184 -1.9511
Er -0.8485 -1.9441 -1.1470
Er -2.2515 0.6415 0.5783
CELL_PARAMETERS angstrom
-0.3081 2.4367 -3.9023
-1.6971 -3.8882 -2.2939
-4.5030 1.2830 1.1567
! **Total energy**: -5.2616 eV per atom
! **E above lowest polymorph**: 0 meV/atom
! **Formation energy (no corrections)**: -466 meV/atom

=====

No. 6
! AsRhS4 (PBE, optimized geometry); values from VASP
&SYSTEM
  ibrav = 0, nat = 12, ntyp = 3
/
ATOMIC_SPECIES
S 32.06 S.upf
Rh 102.91 Rh.upf
As 74.92 As.upf
ATOMIC_POSITIONS angstrom
S -2.9953 -1.5663 -4.2437
S -7.4977 1.5939 0.5916
S -5.7314 0.0875 -1.6420
S -11.0229 0.0742 2.1596
S -2.2061 1.6072 -3.2100
S -10.2337 3.2477 3.1933
S -8.2869 -1.5795 -0.4421
S -4.9421 3.2610 -0.6083
Rh -6.4131 -0.5166 0.5494
Rh -1.1216 -0.5032 -3.2523
As 0.0000 0.0000 0.0000
As -5.6944 2.7013 1.6524
CELL_PARAMETERS angstrom
-0.4028 2.7147 -2.1492
-1.8403 -3.7212 -4.3553
-10.9859 2.6879 5.4541
! **Total energy**: -5.0204 eV per atom
! **Formation energy (no corrections)**: -269 meV/atom

=====

No. 7
! ZnCd (PBE, optimized geometry); values from VASP
&SYSTEM
  ibrav = 0, nat = 8, ntyp = 2
/
ATOMIC_SPECIES
Zn 65.41 Zn.upf
Cd 112.41 Cd.upf
ATOMIC_POSITIONS angstrom
Zn 2.1449 4.8313 3.2280
Zn 3.2280 2.1449 4.8313
Zn 4.8313 3.2280 2.1449
Zn 0.5416 0.5416 0.5416
Cd 0.5375 3.2239 4.8354
Cd 3.2239 4.8354 0.5375
Cd 4.8354 0.5375 3.2239
Cd 2.1489 2.1489 2.1489
CELL_PARAMETERS angstrom
5.3729 0.0000 0.0000
0.0000 5.3729 0.0000
0.0000 0.0000 5.3729
! **Total energy**: -0.9889 eV per atom

=====

No. 8
! Ga2Si2Te (PBE, optimized geometry); values from VASP
&SYSTEM
  ibrav = 0, nat = 5, ntyp = 3
/
ATOMIC_SPECIES
Te 127.60 Te.upf
Si 28.09 Si.upf
Ga 69.72 Ga.upf
ATOMIC_POSITIONS angstrom
Te 0.0000 0.0000 0.0000
Si 2.4112 0.4907 2.3737
Si 5.2788 2.3395 4.7099
Ga 2.7139 1.8246 4.6061
Ga 4.9761 1.0056 2.4775
CELL_PARAMETERS angstrom
-0.2237 0.2004 4.5330
4.3006 -1.4376 0.2758
3.6131 4.0673 2.2749
! **Total energy**: -3.7853 eV per atom
! **E above lowest polymorph**: 0 meV/atom
! **Formation energy (no corrections)**: 223 meV/atom

=====

No. 9
! P3BrO (PBE, optimized geometry); values from VASP
&SYSTEM
  ibrav = 0, nat = 5, ntyp = 3
/
ATOMIC_SPECIES
O 16.00 O.upf
P 30.97 P.upf
Br 79.90 Br.upf
ATOMIC_POSITIONS angstrom
O 0.0000 0.0000 0.0000
P -1.1048 -1.4347 1.1972
P 1.0453 -1.6273 -0.9856
P 1.5489 0.0749 1.5191
Br 1.4894 -2.9872 1.7307
CELL_PARAMETERS angstrom
-2.2096 -2.8695 2.3943
2.0907 -3.2546 -1.9712
3.0977 0.1498 3.0382
! **Total energy**: -3.5720 eV per atom
! **E above lowest polymorph**: 0 meV/atom
! **Formation energy (no corrections)**: 1000 meV/atom

=====

No. 10
! In2FeAg (PBE, optimized geometry); values from VASP
&SYSTEM
  ibrav = 0, nat = 4, ntyp = 3
/
ATOMIC_SPECIES
In 114.82 In.upf
Ag 107.87 Ag.upf
Fe 55.84 Fe.upf
ATOMIC_POSITIONS angstrom
In -2.3723 -8.2006 -1.4156
In -0.7908 -2.7335 -0.4719
Ag -1.5815 -5.4670 -0.9438
Fe 0.0000 0.0000 0.0000
CELL_PARAMETERS angstrom
0.8957 -3.8842 -2.5095
-0.5200 -4.2476 1.9683
-3.5387 -2.8022 -1.3462
! **Total energy**: -3.9220 eV per atom
! **E above lowest polymorph**: 71 meV/atom

=====

No. 11
! TmSn6Pd (PBE, optimized geometry); values from VASP
&SYSTEM
  ibrav = 0, nat = 8, ntyp = 3
/
ATOMIC_SPECIES
Sn 118.71 Sn.upf
Pd 106.42 Pd.upf
Tm 168.93 Tm.upf
ATOMIC_POSITIONS angstrom
Sn -6.0373 2.0135 -5.9704
Sn -4.0473 4.8466 -3.3826
Sn -2.7641 4.6936 -6.4643
Sn -5.8487 5.0079 -5.9730
Sn -4.2359 1.8521 -3.3799
Sn -1.0375 1.7209 -2.4209
Pd -1.9008 3.2072 -4.4426
Tm 0.0000 0.0000 0.0000
CELL_PARAMETERS angstrom
-1.1507 6.1522 -3.2532
-2.6508 0.2623 -5.6319
-6.2831 0.4455 -0.4678
! **Total energy**: -4.4302 eV per atom

=====

No. 12
! LaZrP2S (PBE, optimized geometry); values from VASP
&SYSTEM
  ibrav = 0, nat = 5, ntyp = 4
/
ATOMIC_SPECIES
La 138.91 La.upf
S 32.06 S.upf
Zr 91.22 Zr.upf
P 30.97 P.upf
ATOMIC_POSITIONS angstrom
La 0.0000 0.0000 0.0000
S -0.1128 0.6899 2.5461
Zr -3.6304 -0.5176 2.7175
P -1.1542 -2.2961 0.5711
P -2.3634 1.0886 -0.3997
CELL_PARAMETERS angstrom
-4.7268 2.1772 -0.7994
-2.3084 -4.5923 1.1421
-0.2256 1.3799 5.0923
! **Total energy**: -5.1770 eV per atom
! **E above lowest polymorph**: 1431 meV/atom
! **Formation energy (no corrections)**: 508 meV/atom

=====

No. 13
! CsBa2CaTl (PBE, optimized geometry); values from VASP
&SYSTEM
  ibrav = 0, nat = 5, ntyp = 4
/
ATOMIC_SPECIES
Cs 132.91 Cs.upf
Tl 204.38 Tl.upf
Ba 137.33 Ba.upf
Ca 40.08 Ca.upf
ATOMIC_POSITIONS angstrom
Cs 4.3327 -0.6349 3.8744
Tl 0.0000 0.0000 0.0000
Ba -0.1160 0.8044 3.3791
Ba 1.6769 -2.9480 0.7593
Ca 2.7718 1.5087 -0.2640
CELL_PARAMETERS angstrom
-0.2319 1.6088 6.7583
3.3538 -5.8960 1.5186
5.5435 3.0173 -0.5281
! **Total energy**: -1.8418 eV per atom

=====

No. 14
! MgSi2Au (PBE, optimized geometry); values from VASP
&SYSTEM
  ibrav = 0, nat = 4, ntyp = 3
/
ATOMIC_SPECIES
Si 28.09 Si.upf
Mg 24.30 Mg.upf
Au 196.97 Au.upf
ATOMIC_POSITIONS angstrom
Si 0.0000 0.0000 0.2506
Si 1.7573 1.7573 1.1327
Mg 1.7573 1.7573 4.0438
Au 0.0000 0.0000 2.9029
CELL_PARAMETERS angstrom
3.5146 0.0000 0.0000
0.0000 3.5146 0.0000
0.0000 0.0000 5.5533
! **Total energy**: -3.8894 eV per atom
! **Formation energy (no corrections)**: 40 meV/atom

=====

No. 15
! Se2F (PBE, optimized geometry); values from VASP
&SYSTEM
  ibrav = 0, nat = 6, ntyp = 2
/
ATOMIC_SPECIES
F 19.00 F.upf
Se 78.96 Se.upf
ATOMIC_POSITIONS angstrom
F 0.1623 0.0073 3.6689
F 1.9477 1.6495 7.1300
Se 1.5261 1.3163 3.0296
Se -0.0570 -0.8157 6.7149
Se 1.5362 -2.5607 6.8663
Se -0.0124 2.8925 2.1981
CELL_PARAMETERS angstrom
3.4714 0.0030 0.0271
-1.6212 5.7186 0.0901
-0.0595 -2.9815 7.0941
! **Total energy**: -3.5810 eV per atom
! **E above lowest polymorph**: 24 meV/atom
! **Formation energy (no corrections)**: -634 meV/atom

=====

No. 16
! ZnGePd2 (PBE, optimized geometry); values from VASP
&SYSTEM
  ibrav = 0, nat = 4, ntyp = 3
/
ATOMIC_SPECIES
Pd 106.42 Pd.upf
Ge 72.64 Ge.upf
Zn 65.41 Zn.upf
ATOMIC_POSITIONS angstrom
Pd 2.0344 1.1745 3.7453
Pd 2.0344 1.1745 0.9095
Ge 6.1031 3.5236 4.5702
Zn 4.0687 2.3491 2.4883
CELL_PARAMETERS angstrom
4.0687 0.0000 0.0000
2.0344 3.5236 0.0000
2.0344 1.1745 4.6853
! **Total energy**: -4.3991 eV per atom

=====

No. 17
! InCoCu2B (PBE, optimized geometry); values from VASP
&SYSTEM
  ibrav = 0, nat = 5, ntyp = 4
/
ATOMIC_SPECIES
Co 58.93 Co.upf
B 10.81 B.upf
In 114.82 In.upf
Cu 63.55 Cu.upf
ATOMIC_POSITIONS angstrom
Co -1.9946 -1.3171 3.1999
B 0.9946 -0.7991 1.6269
In 0.0000 0.0000 0.0000
Cu -1.3944 1.2954 1.4887
Cu -1.5947 -1.8134 0.0843
CELL_PARAMETERS angstrom
-3.1895 -3.6269 0.1685
1.9892 -1.5981 3.2538
-2.7888 2.5908 2.9775
! **Total energy**: -3.2257 eV per atom

=====

No. 18
! LaTb3Pm7 (PBE, optimized geometry); values from VASP
&SYSTEM
  ibrav = 0, nat = 11, ntyp = 3
/
ATOMIC_SPECIES
Pm 145.00 Pm.upf
Tb 158.93 Tb.upf
La 138.91 La.upf
ATOMIC_POSITIONS angstrom
Pm 1.7349 5.9552 6.9249
Pm 5.2309 7.2116 5.8774
Pm 5.0805 4.5314 8.2201
Pm 1.7243 0.6081 3.5158
Pm 5.2202 1.8644 2.4683
Pm 1.8746 3.2883 1.1731
Pm 0.2485 3.8858 4.4618
Tb 0.1068 1.3607 6.6689
Tb 3.2291 0.0240 0.2348
Tb 0.3901 6.4109 2.2547
La 3.4776 3.9098 4.6966
CELL_PARAMETERS angstrom
6.4582 0.0481 0.4697
0.4632 7.7137 1.1159
0.0337 0.0579 7.8076
! **Total energy**: -4.5232 eV per atom
! **E above lowest polymorph**: 24 meV/atom

=====

No. 19
! Na5H12Rh3 (PBE, optimized geometry); values from VASP
&SYSTEM
  ibrav = 0, nat = 80, ntyp = 3
/
ATOMIC_SPECIES
Na 22.99 Na.upf
H 1.01 H.upf
Rh 102.91 Rh.upf
ATOMIC_POSITIONS angstrom
Na 5.0246 0.0000 0.0000
Na 3.3497 -2.3686 4.1026
Na -1.6749 -2.3686 4.1026
Na 0.0000 0.0000 0.0000
Na -2.5123 5.3294 3.0769
Na 0.8374 -2.3686 6.1539
Na 0.8374 2.9608 7.1795
Na -0.8374 2.3686 2.0513
Na -0.8374 7.6980 1.0256
Na 3.3497 4.7372 0.0000
Na 5.8620 -0.5922 5.1282
Na 4.1872 2.3686 6.1539
Na -0.8374 0.5922 5.1282
Na 2.5123 7.1059 2.0513
Na 4.1872 -2.9608 7.1795
Na 2.5123 1.7765 1.0256
Na -1.6749 4.7372 0.0000
Na 4.1872 4.1451 3.0769
Na -3.3497 2.3686 4.1026
Na 1.6749 2.3686 4.1026
H 3.7518 -0.3774 5.0030
H 3.6872 4.4301 6.0304
H -3.2167 7.3186 2.8283
H 0.0685 3.4360 0.4529
H -3.0122 4.4055 4.9240
H 2.0124 0.6388 2.7493
H -2.9477 7.6991 1.2743
H -0.3375 0.3071 2.1747
H -3.7518 2.5844 6.2773
H -1.3374 -0.3317 3.2812
H 4.8916 8.4773 0.8214
H 1.5418 -1.1587 4.5554
H 6.2974 -2.9618 6.9309
H 1.6064 3.6944 0.9004
H 4.6226 7.3217 1.9279
H 1.8079 5.8959 3.6497
H -1.5418 -3.7401 7.3838
H 1.6064 6.0384 0.4529
H 0.3375 5.3761 5.4559
H 4.6226 1.7754 1.2743
H -1.5418 2.5814 5.3768
H 1.2728 0.3774 5.0030
H 3.2812 1.3012 7.7523
H 3.0122 -0.6388 2.7493
H 6.5664 -2.5814 5.3768
H -0.4020 5.1146 3.2021
H 6.6310 4.4788 1.3533
H 6.8325 0.9972 0.8214
H 5.0931 4.9956 1.3533
H -1.2728 -2.5844 6.2773
H -2.0124 5.0443 6.0304
H 4.6871 5.0690 4.9240
H 3.4828 1.1587 4.5554
H 5.3621 -0.3071 2.1747
H 0.0685 5.7800 0.9004
H 1.3374 4.0984 5.4559
H -3.4828 3.7401 7.3838
H 3.2812 -1.0428 7.3047
H 6.3620 0.3317 3.2812
H 4.8916 2.1559 2.8283
H 1.7434 -1.3012 7.7523
H 1.7434 1.0428 7.3047
H -0.1330 3.5785 3.6497
H 2.0769 4.3599 3.2021
H -1.7434 -0.2584 6.8518
H -3.2812 0.2584 6.8518
H 7.1015 2.1528 1.9279
H -1.2728 2.9618 6.9309
Rh 2.5123 5.3294 5.1282
Rh 2.5123 0.0000 6.1539
Rh 5.8620 6.5137 1.0256
Rh 4.1872 0.5922 3.0769
Rh 0.8374 -0.5922 3.0769
Rh 0.8374 4.7372 2.0513
Rh 7.5369 0.0000 2.0513
Rh -2.5123 -1.7765 7.1795
Rh -0.8374 4.1451 5.1282
Rh -4.1872 4.7372 6.1539
Rh -2.5123 1.7765 7.1795
Rh 5.8620 2.9608 1.0256
CELL_PARAMETERS angstrom
10.0492 0.0000 0.0000
-3.3497 9.4745 0.0000
-3.3497 -4.7372 8.2051
! **Total energy**: -3.3950 eV per atom

=====

No. 20
! Ca3Ga2Ag9 (PBE, optimized geometry); values from VASP
&SYSTEM
  ibrav = 0, nat = 14, ntyp = 3
/
ATOMIC_SPECIES
Ca 40.08 Ca.upf
Ag 107.87 Ag.upf
Ga 69.72 Ga.upf
ATOMIC_POSITIONS angstrom
Ca 4.5419 7.0469 5.5952
Ca 0.0000 0.0000 0.0000
Ca 4.5419 3.1262 2.4822
Ag 2.2710 2.4216 4.8062
Ag 6.8129 7.7515 3.2712
Ag 2.2710 0.8426 2.4224
Ag 6.8129 4.9431 6.8082
Ag 2.2710 5.0866 4.0387
Ag 6.8129 7.6228 7.8058
Ag 2.2710 5.2300 1.2692
Ag 6.8129 9.3305 5.6551
Ag 2.2710 2.5503 0.2716
Ga 4.5419 3.7677 5.6997
Ga 4.5419 6.4054 2.3777
CELL_PARAMETERS angstrom
4.5419 0.0000 0.0000
2.2710 8.2857 0.0096
2.2710 1.8875 8.0678
! **Total energy**: -2.9024 eV per atom